# RbFeP2O PBE with a Hubbard U relaxed
# Excess energy over the best structure of this formula in the dataset, meV/atom: 2119
# Volume, Å³/cell: 118.9
data_RbFeP2O
_symmetry_space_group_name_H-M 'P 4/m m m'
_symmetry_Int_Tables_number 123
_symmetry_space_group_name_Hall '-P 4 2'
_cell_length_a 5.311
_cell_length_b 5.311
_cell_length_c 4.216
_cell_angle_alpha 90.00
_cell_angle_beta 90.00
_cell_angle_gamma 90.00
loop_
_atom_site_label
_atom_site_type_symbol
_atom_site_fract_x
_atom_site_fract_y
_atom_site_fract_z
Rb1 Rb 0.000 0.000 0.000
Fe1 Fe 0.500 0.500 0.500
P1 P 0.000 0.500 0.000
O1 O 0.000 0.000 0.500